DFT (PBE) results for a relaxed CeTc2AgO8 crystal.

## Properties
N(E_F), states/eV/cell: 5.851

Lattice parameters (Å, degrees): 6.0827 6.0827 6.7131 90.00 90.00 120.00
Atoms (fractional coordinates):
1 Ce 0.0000 0.0000 0.0000
2 Tc 0.3333 0.6667 0.3060
3 Tc 0.6667 0.3333 0.6940
4 Ag 0.0000 0.0000 0.5000
5 O 0.1707 0.3414 0.2148
6 O 0.1707 0.8293 0.2148
7 O 0.3333 0.6667 0.5642
8 O 0.3414 0.1707 0.7852
9 O 0.6586 0.8293 0.2148
10 O 0.6667 0.3333 0.4358
11 O 0.8293 0.1707 0.7852
12 O 0.8293 0.6586 0.7852


DFT (PBE) results for a relaxed CeAg2TeO6 crystal.

Lattice parameters (Å, degrees): 5.8722 5.8722 5.8722 58.39 58.39 58.39
Atoms (fractional coordinates):
1 Ce 0.0000 0.0000 0.0000
2 Ag 0.2486 0.2486 0.2486
3 Ag 0.7514 0.7514 0.7514
4 Te 0.5000 0.5000 0.5000
5 O 0.1779 0.3613 0.7279
6 O 0.2721 0.8221 0.6387
7 O 0.3613 0.7279 0.1779
8 O 0.6387 0.2721 0.8221
9 O 0.7279 0.1779 0.3613
10 O 0.8221 0.6387 0.2721


DFT (PBE) results for a relaxed CeAgTeO6 crystal.

## Properties
N(E_F), states/eV/cell: 11.801

Lattice parameters (Å, degrees): 5.7105 5.7105 9.1681 90.00 90.00 120.00
Atoms (fractional coordinates):
1 Ce 0.3333 0.6667 0.2500
2 Ce 0.6667 0.3333 0.7500
3 Ag 0.0000 0.0000 0.0000
4 Ag 0.0000 0.0000 0.5000
5 Te 0.3333 0.6667 0.7500
6 Te 0.6667 0.3333 0.2500
7 O 0.0416 0.3818 0.6340
8 O 0.0416 0.6598 0.8660
9 O 0.3402 0.3818 0.8660
10 O 0.3402 0.9584 0.6340
11 O 0.3818 0.0416 0.1340
12 O 0.3818 0.3402 0.3660
13 O 0.6182 0.6598 0.6340
14 O 0.6182 0.9584 0.8660
15 O 0.6598 0.0416 0.3660
16 O 0.6598 0.6182 0.1340
17 O 0.9584 0.3402 0.1340
18 O 0.9584 0.6182 0.3660


| no. | uncorrected formation energy (eV per atom) |
| --- | --- |
| 1 | -1.600 |
| 2 | -1.422 |
| 3 | -1.415 |